Below is a geometry-optimized Nd2Mg12Cd7 structure, with properties calculated at the PBE level.

Computed properties:
V = 23.41 A^3/atom
E_form = -146 meV/atom
DOS(E_F) = 7.57 states/eV per cell
SG = P-3 (147)
ρ = 4.6 Mg/m³
Size of the total moment = 0.00 μB/cell

a b c (Å): 13.0038 13.0038 3.3565
angles (deg): 90.00 90.00 120.00
Fractional positions:
Nd  0.3333  0.6667  0.2512
Nd  0.6667  0.3333  0.7488
Mg  0.0765  0.4564  0.7477
Mg  0.0785  0.2462  0.2412
Mg  0.1677  0.9215  0.2412
Mg  0.2462  0.1677  0.7588
Mg  0.3799  0.9235  0.7477
Mg  0.4564  0.3799  0.2523
Mg  0.5436  0.6201  0.7477
Mg  0.6201  0.0765  0.2523
Mg  0.7538  0.8323  0.2412
Mg  0.8323  0.0785  0.7588
Mg  0.9215  0.7538  0.7588
Mg  0.9235  0.5436  0.2523
Cd  0.0000  0.0000  0.5000
Cd  0.1348  0.7112  0.7509
Cd  0.2888  0.4237  0.7509
Cd  0.4237  0.1348  0.2491
Cd  0.5763  0.8652  0.7509
Cd  0.7112  0.5763  0.2491
Cd  0.8652  0.2888  0.2491

Below is a geometry-optimized NdMg3Cd4 structure, with properties calculated at the PBE level.

Computed properties:
V = 23.36 A^3/atom
E_form = -204 meV/atom
DOS(E_F) = 4.36 states/eV per cell
SG = P4/mmm (123)
ρ = 5.9 Mg/m³
Size of the total moment = 0.00 μB/cell

a b c (Å): 4.9045 4.9045 7.7699
angles (deg): 90.00 90.00 90.00
Fractional positions:
Nd  0.0000  0.0000  0.0000
Mg  0.0000  0.0000  0.5000
Mg  0.5000  0.5000  0.0000
Mg  0.5000  0.5000  0.5000
Cd  0.0000  0.5000  0.2676
Cd  0.0000  0.5000  0.7324
Cd  0.5000  0.0000  0.2676
Cd  0.5000  0.0000  0.7324

Below is a geometry-optimized Nd2Mg3Cd2 structure, with properties calculated at the PBE level.

Computed properties:
V = 26.74 A^3/atom
E_form = -156 meV/atom
DOS(E_F) = 6.05 states/eV per cell
SG = C2/m (12)
ρ = 5.2 Mg/m³
Size of the total moment = 0.00 μB/cell

a b c (Å): 6.1057 6.1057 7.1232
angles (deg): 106.19 106.19 47.73
Fractional positions:
Nd  0.1181  0.1181  0.3591
Nd  0.8819  0.8819  0.6409
Mg  0.2003  0.2003  0.8792
Mg  0.5000  0.5000  0.0000
Mg  0.7997  0.7997  0.1208
Cd  0.3959  0.3959  0.3210
Cd  0.6041  0.6041  0.6790

Below is a geometry-optimized NdMg4Cd4 structure, with properties calculated at the PBE level.

Computed properties:
V = 24.36 A^3/atom
E_form = -98 meV/atom
DOS(E_F) = 10.57 states/eV per cell
SG = P4_2/nmc (137)
ρ = 5.2 Mg/m³
Size of the total moment = 0.00 μB/cell

a b c (Å): 6.6280 6.6280 9.9799
angles (deg): 90.00 90.00 90.00
Fractional positions:
Nd  0.2500  0.7500  0.2500
Nd  0.7500  0.2500  0.7500
Mg  0.0281  0.2500  0.1705
Mg  0.2500  0.0281  0.6705
Mg  0.2500  0.4719  0.6705
Mg  0.4719  0.2500  0.1705
Mg  0.5281  0.7500  0.8295
Mg  0.7500  0.5281  0.3295
Mg  0.7500  0.9719  0.3295
Mg  0.9719  0.7500  0.8295
Cd  0.0230  0.2500  0.4640
Cd  0.2500  0.0230  0.9640
Cd  0.2500  0.4770  0.9640
Cd  0.4770  0.2500  0.4640
Cd  0.5230  0.7500  0.5360
Cd  0.7500  0.5230  0.0360
Cd  0.7500  0.9770  0.0360
Cd  0.9770  0.7500  0.5360

Below is a geometry-optimized Nd3Mg4Cd4 structure, with properties calculated at the PBE level.

Computed properties:
V = 25.63 A^3/atom
E_form = -238 meV/atom
DOS(E_F) = 7.59 states/eV per cell
SG = P-1 (2)
E above lowest polymorph = 0.00 eV/f.u.
ρ = 5.8 Mg/m³
Size of the total moment = 0.00 μB/cell

a b c (Å): 3.4870 5.0910 16.1750
angles (deg): 98.95 96.18 90.02
Fractional positions:
Nd  0.0000  0.0000  0.0000
Nd  0.1419  0.6403  0.2822
Nd  0.8581  0.3597  0.7178
Mg  0.2618  0.2628  0.5252
Mg  0.4057  0.9082  0.8146
Mg  0.5943  0.0918  0.1854
Mg  0.7382  0.7372  0.4748
Cd  0.3145  0.8158  0.6301
Cd  0.4526  0.4530  0.9054
Cd  0.5474  0.5470  0.0946
Cd  0.6855  0.1842  0.3699

Below is a geometry-optimized NdMg3Cd2 structure, with properties calculated at the PBE level.

Computed properties:
V = 24.65 A^3/atom
E_form = -176 meV/atom
DOS(E_F) = 7.30 states/eV per cell
SG = C2/m (12)
ρ = 5.0 Mg/m³
Size of the total moment = 0.00 μB/cell

a b c (Å): 8.8808 8.8808 7.6654
angles (deg): 110.06 110.06 31.58
Fractional positions:
Nd  0.1181  0.1181  0.1869
Nd  0.8819  0.8819  0.8131
Mg  0.0710  0.0710  0.7016
Mg  0.3024  0.3024  0.0700
Mg  0.3763  0.3763  0.4922
Mg  0.6237  0.6237  0.5078
Mg  0.6976  0.6976  0.9300
Mg  0.9290  0.9290  0.2984
Cd  0.2360  0.2360  0.6580
Cd  0.4800  0.4800  0.1654
Cd  0.5200  0.5200  0.8346
Cd  0.7640  0.7640  0.3419

Below is a geometry-optimized NdMgCd2 structure, with properties calculated at the PBE level.

Computed properties:
V = 24.68 A^3/atom
E_form = -332 meV/atom
DOS(E_F) = 2.02 states/eV per cell
SG = Fm-3m (225)
E above lowest polymorph = 0.00 eV/f.u.
ρ = 6.6 Mg/m³
Size of the total moment = 0.00 μB/cell

a b c (Å): 5.1879 5.1879 5.1879
angles (deg): 60.00 60.00 60.00
Fractional positions:
Nd  0.0000  0.0000  0.0000
Mg  0.5000  0.5000  0.5000
Cd  0.2500  0.2500  0.2500
Cd  0.7500  0.7500  0.7500

Below is a geometry-optimized NdMg2Cd10 structure, with properties calculated at the PBE level.

Computed properties:
V = 22.80 A^3/atom
E_form = -152 meV/atom
DOS(E_F) = 2.97 states/eV per cell
SG = Fmmm (69)
ρ = 7.4 Mg/m³
Size of the total moment = 0.00 μB/cell

a b c (Å): 9.9058 7.6487 7.6071
angles (deg): 80.98 49.69 49.33
Fractional positions:
Nd  0.0000  0.0000  0.0000
Mg  0.0000  0.5000  0.0000
Mg  0.5000  0.0000  0.5000
Cd  0.0000  0.0000  0.5000
Cd  0.0032  0.3487  0.6513
Cd  0.2850  0.4981  0.5019
Cd  0.3487  0.0032  0.9968
Cd  0.4981  0.2850  0.7150
Cd  0.5000  0.5000  0.0000
Cd  0.5019  0.7150  0.2850
Cd  0.6513  0.9968  0.0032
Cd  0.7150  0.5019  0.4981
Cd  0.9968  0.6513  0.3487

Below is a geometry-optimized NdMgCd6 structure, with properties calculated at the PBE level.

Computed properties:
V = 23.92 A^3/atom
E_form = -177 meV/atom
DOS(E_F) = 3.41 states/eV per cell
SG = Amm2 (38)
ρ = 7.3 Mg/m³
Size of the total moment = 0.00 μB/cell

a b c (Å): 4.8728 6.4776 6.4776
angles (deg): 69.37 90.00 90.00
Fractional positions:
Nd  0.0000  0.0000  0.0000
Mg  0.5000  0.7536  0.7536
Cd  0.0000  0.0702  0.4881
Cd  0.0000  0.4881  0.0702
Cd  0.0000  0.5655  0.5655
Cd  0.5000  0.1981  0.1981
Cd  0.5000  0.2641  0.6810
Cd  0.5000  0.6810  0.2641

Below is a geometry-optimized Nd2Mg5Cd3 structure, with properties calculated at the PBE level.

Computed properties:
V = 25.70 A^3/atom
E_form = -134 meV/atom
DOS(E_F) = 13.74 states/eV per cell
SG = Ibam (72)
ρ = 4.8 Mg/m³
Size of the total moment = 0.00 μB/cell

a b c (Å): 9.5583 9.5583 9.5583
angles (deg): 97.73 94.82 141.41
Fractional positions:
Nd  0.2436  0.1300  0.3736
Nd  0.2564  0.6300  0.8865
Nd  0.7436  0.3700  0.1135
Nd  0.7564  0.8700  0.6264
Mg  0.1459  0.3859  0.5318
Mg  0.2500  0.2500  0.0000
Mg  0.2500  0.5021  0.2521
Mg  0.2500  0.9979  0.7479
Mg  0.3541  0.8859  0.2400
Mg  0.6459  0.1141  0.7600
Mg  0.7500  0.0021  0.2521
Mg  0.7500  0.4979  0.7479
Mg  0.7500  0.7500  0.0000
Mg  0.8541  0.6141  0.4682
Cd  0.1433  0.8727  0.0160
Cd  0.2500  0.7500  0.5000
Cd  0.3567  0.3727  0.7294
Cd  0.6433  0.6273  0.2706
Cd  0.7500  0.2500  0.5000
Cd  0.8567  0.1273  0.9840

Below is a geometry-optimized NdMg2Cd5 structure, with properties calculated at the PBE level.

Computed properties:
V = 23.82 A^3/atom
E_form = -185 meV/atom
DOS(E_F) = 5.41 states/eV per cell
SG = I4/mmm (139)
ρ = 6.6 Mg/m³
Size of the total moment = 0.00 μB/cell

a b c (Å): 9.5077 9.5077 9.5077
angles (deg): 151.88 151.88 40.19
Fractional positions:
Nd  0.0000  0.0000  0.0000
Mg  0.2454  0.2454  0.0000
Mg  0.7546  0.7546  0.0000
Cd  0.1334  0.6334  0.5000
Cd  0.3666  0.8666  0.5000
Cd  0.5000  0.5000  0.0000
Cd  0.6334  0.1334  0.5000
Cd  0.8666  0.3666  0.5000

Below is a geometry-optimized Nd5MgCd structure, with properties calculated at the PBE level.

Computed properties:
V = 31.85 A^3/atom
E_form = -6 meV/atom
DOS(E_F) = 16.92 states/eV per cell
SG = C2/c (15)
ρ = 6.4 Mg/m³
Size of the total moment = 0.00 μB/cell

a b c (Å): 8.7387 8.7387 6.1485
angles (deg): 102.85 102.85 84.89
Fractional positions:
Nd  0.1570  0.3263  0.5714
Nd  0.1632  0.5554  0.1607
Nd  0.2378  0.7622  0.7500
Nd  0.3263  0.1570  0.0714
Nd  0.4446  0.8368  0.3393
Nd  0.5554  0.1632  0.6607
Nd  0.6737  0.8430  0.9286
Nd  0.7622  0.2378  0.2500
Nd  0.8368  0.4446  0.8393
Nd  0.8430  0.6737  0.4286
Mg  0.0595  0.9405  0.2500
Mg  0.9405  0.0595  0.7500
Cd  0.5000  0.5000  0.0000
Cd  0.5000  0.5000  0.5000

Below is a geometry-optimized NdMgCdNi structure, with properties calculated at the PBE level.

Computed properties:
V = 21.57 A^3/atom
E_form = -158 meV/atom
DOS(E_F) = 3.01 states/eV per cell
SG = F-43m (216)
ρ = 6.5 Mg/m³
Size of the total moment = 0.00 μB/cell

a b c (Å): 4.9599 4.9599 4.9599
angles (deg): 60.00 60.00 60.00
Fractional positions:
Nd  0.0000  0.0000  0.0000
Mg  0.5000  0.5000  0.5000
Cd  0.7500  0.7500  0.7500
Ni  0.2500  0.2500  0.2500

Below is a geometry-optimized NdMgCdPb structure, with properties calculated at the PBE level.

Computed properties:
V = 26.72 A^3/atom
E_form = -254 meV/atom
DOS(E_F) = 3.52 states/eV per cell
SG = F-43m (216)
E above lowest polymorph = 0.46 eV/f.u.
ρ = 7.6 Mg/m³
Size of the total moment = 0.00 μB/cell

a b c (Å): 5.3266 5.3266 5.3266
angles (deg): 60.00 60.00 60.00
Fractional positions:
Nd  0.0000  0.0000  0.0000
Mg  0.5000  0.5000  0.5000
Cd  0.7500  0.7500  0.7500
Pb  0.2500  0.2500  0.2500

Below is a geometry-optimized NdMgCdPb structure, with properties calculated at the PBE level.

Computed properties:
V = 26.44 A^3/atom
E_form = -369 meV/atom
DOS(E_F) = 1.81 states/eV per cell
SG = Pmmm (47)
E above lowest polymorph = 0.00 eV/f.u.
ρ = 7.7 Mg/m³
Size of the total moment = 0.00 μB/cell

a b c (Å): 4.5432 4.7123 4.9409
angles (deg): 90.00 90.00 90.00
Fractional positions:
Nd  0.0000  0.0000  0.0000
Mg  0.0000  0.5000  0.5000
Cd  0.5000  0.0000  0.5000
Pb  0.5000  0.5000  0.0000

Below is a geometry-optimized PrNdMgCd structure, with properties calculated at the PBE level.

Computed properties:
V = 29.19 A^3/atom
E_form = -214 meV/atom
DOS(E_F) = 4.20 states/eV per cell
SG = F-43m (216)
ρ = 6.0 Mg/m³
Size of the total moment = 0.00 μB/cell

a b c (Å): 5.4864 5.4864 5.4864
angles (deg): 60.00 60.00 60.00
Fractional positions:
Pr  0.0000  0.0000  0.0000
Nd  0.5000  0.5000  0.5000
Mg  0.2500  0.2500  0.2500
Cd  0.7500  0.7500  0.7500

Below is a geometry-optimized NdPuMgCd structure, with properties calculated at the PBE level.

Computed properties:
V = 28.17 A^3/atom
E_form = 1 meV/atom
DOS(E_F) = 10.48 states/eV per cell
SG = F-43m (216)
ρ = 7.7 Mg/m³
Size of the total moment = 6.41 μB/cell

a b c (Å): 5.4216 5.4216 5.4216
angles (deg): 60.00 60.00 60.00
Fractional positions:
Nd  0.0000  0.0000  0.0000
Pu  0.5000  0.5000  0.5000
Mg  0.2500  0.2500  0.2500
Cd  0.7500  0.7500  0.7500

Below is a geometry-optimized NdMgScCd structure, with properties calculated at the PBE level.

Computed properties:
V = 25.79 A^3/atom
E_form = -175 meV/atom
DOS(E_F) = 4.87 states/eV per cell
SG = F-43m (216)
ρ = 5.2 Mg/m³
Size of the total moment = 0.00 μB/cell

a b c (Å): 5.2645 5.2645 5.2645
angles (deg): 60.00 60.00 60.00
Fractional positions:
Nd  0.0000  0.0000  0.0000
Mg  0.2500  0.2500  0.2500
Sc  0.5000  0.5000  0.5000
Cd  0.7500  0.7500  0.7500

Below is a geometry-optimized NdMg2ScCd4 structure, with properties calculated at the PBE level.

Computed properties:
V = 23.02 A^3/atom
E_form = -288 meV/atom
DOS(E_F) = 2.97 states/eV per cell
SG = R-3m (166)
ρ = 6.2 Mg/m³
Size of the total moment = 0.00 μB/cell

a b c (Å): 8.8464 8.8464 8.8464
angles (deg): 33.14 33.14 33.14
Fractional positions:
Nd  0.0000  0.0000  0.0000
Mg  0.2492  0.2492  0.2492
Mg  0.7508  0.7508  0.7508
Sc  0.5000  0.5000  0.5000
Cd  0.1293  0.1293  0.1293
Cd  0.3814  0.3814  0.3814
Cd  0.6186  0.6186  0.6186
Cd  0.8707  0.8707  0.8707

Below is a geometry-optimized NdSmMgCd structure, with properties calculated at the PBE level.

Computed properties:
V = 28.46 A^3/atom
E_form = -209 meV/atom
DOS(E_F) = 4.52 states/eV per cell
SG = F-43m (216)
E above lowest polymorph = 0.02 eV/f.u.
ρ = 6.3 Mg/m³
Size of the total moment = 0.00 μB/cell

a b c (Å): 5.4401 5.4401 5.4401
angles (deg): 60.00 60.00 60.00
Fractional positions:
Nd  0.0000  0.0000  0.0000
Sm  0.5000  0.5000  0.5000
Mg  0.2500  0.2500  0.2500
Cd  0.7500  0.7500  0.7500